DFT (PBEsol) results for a relaxed AlIr3 crystal.

Unit cell a=2.743 b=4.375 c=4.647 alpha=90.00 beta=90.00 gamma=90.00
Space group Pmm2 (No. 25)
Asymmetric unit:
Al 0.000 0.000 0.000
Ir 0.000 0.500 0.352
Ir 0.500 0.000 0.500
Ir 0.500 0.500 0.853

Properties
Total magnetic moment: 0.00 μB/f.u.
ΔE_f: -0.337 eV/atom

DFT (PBEsol) results for a relaxed MnZn2Co crystal.

Unit cell a=2.970 b=2.970 c=5.477 alpha=90.00 beta=90.00 gamma=90.00
Space group P4/mmm (No. 123)
Asymmetric unit:
Mn 0.000 0.000 0.000
Zn 0.500 0.500 0.263
Co 0.000 0.000 0.500

Properties
Total magnetic moment: 3.64 μB/f.u.
ΔE_f: 0.062 eV/atom
Offset from the most stable computed form: 7.2 kJ/mol of atoms

DFT (PBEsol) results for a relaxed MgTaRu2 crystal.

Unit cell a=4.361 b=4.361 c=3.128 alpha=90.00 beta=90.00 gamma=90.00
Space group P4/mmm (No. 123)
Asymmetric unit:
Mg 0.000 0.000 0.000
Ta 0.500 0.500 0.000
Ru 0.000 0.500 0.500

Properties
Total magnetic moment: 0.00 μB/f.u.
ΔE_f: -0.245 eV/atom

DFT (PBEsol) results for a relaxed MnNiTe2 crystal.

Unit cell a=3.8254 b=3.8254 c=19.0662 alpha=90.00 beta=90.00 gamma=120.00
Space group R3m (No. 160, hexagonal axes)
Asymmetric unit:
Mn 0.0000 0.0000 0.0000
Ni 0.0000 0.0000 0.2825
Te 0.0000 0.0000 0.5570
Te 0.0000 0.0000 0.7402

Properties
Total magnetic moment: 2.49 μB/f.u.
ΔE_f (raw): -0.08 eV per atom

DFT (PBEsol) results for a relaxed MnZn2Pt crystal.

Unit cell a=2.776 b=3.631 c=5.400 alpha=90.00 beta=90.00 gamma=90.00
Space group Pmmm (No. 47)
Asymmetric unit:
Mn 0.000 0.000 0.000
Zn 0.500 0.500 0.247
Pt 0.000 0.000 0.500

Properties
Total magnetic moment: 3.36 μB/f.u.
ΔE_f: -0.220 eV/atom

DFT (PBEsol) results for a relaxed Mo3RhN crystal.

Unit cell a=4.040 b=4.040 c=4.040 alpha=90.00 beta=90.00 gamma=90.00
Space group Pm-3m (No. 221)
Asymmetric unit:
Mo 0.000 0.000 0.500
Rh 0.500 0.500 0.500
N 0.000 0.000 0.000

Properties
Total magnetic moment: 0.00 μB/f.u.
ΔE_f (raw): -0.28 eV per atom